## CdTcBr2 (PBE)

Data for a relaxed CdTcBr2 crystal.

Geometry as POSCAR:
```
CdTcBr2
1.0
3.2365 0.0000 0.0000
0.0000 3.2365 0.0000
0.0000 0.0000 8.5378
Cd Tc Br
1 1 2
direct
0.0000 0.0000 0.0000 Cd
0.5000 0.5000 0.2443 Tc
0.0000 0.0000 0.3924 Br
0.5000 0.5000 0.7815 Br
```

Computed properties:
Fermi-level density of states	1.3	states/eV/f.u.
spin magnetization	0.000	Bohr magnetons per cell
calculated density	6.874	g/cm³
calculated total energy	-13.69	eV per cell
ΔE_f (raw)	0.23	eV per atom
energy relative to the lowest polymorph listed for this composition	206.9	meV/atom